VASP calculation (PBE) on a geometry-optimized BeCdBr2 structure.

Unit cell a=5.834 b=3.424 c=6.166 alpha=90.00 beta=111.30 gamma=90.00
Fractional coordinates of all 4 atoms:
Be 0.000 0.000 0.000
Cd 0.689 0.500 0.140
Br 0.309 0.000 0.311
Br 0.992 0.500 0.761

Computed properties:
The formation energy (no corrections) is -450 meV/atom. The size of the total moment comes out at 0.000 μB/atom. The calculation puts the volume at 114.7 Å³/f.u.



VASP calculation (PBE) on a geometry-optimized BeCdBr2 structure.

Unit cell a=5.056 b=5.056 c=5.056 alpha=60.00 beta=60.00 gamma=60.00
Fractional coordinates of all 4 atoms:
Be 0.000 0.000 0.000
Cd 0.500 0.500 0.500
Br 0.250 0.250 0.250
Br 0.750 0.750 0.750

Computed properties:
The formation energy (no corrections) is 375 meV/atom. The size of the total moment comes out at 0.000 μB/atom. The calculation puts the volume at 91.4 Å³/f.u.



VASP calculation (PBE) on a geometry-optimized BeCdBr structure.

Unit cell a=6.313 b=6.313 c=6.313 alpha=150.19 beta=150.19 gamma=42.66
Fractional coordinates of all 3 atoms:
Be 0.000 0.000 0.000
Cd 0.627 0.627 0.000
Br 0.367 0.367 0.000

Computed properties:
The formation energy (no corrections) is 323 meV/atom. The size of the total moment comes out at 0.000 μB/atom. The calculation puts the volume at 62.0 Å³/f.u.



VASP calculation (PBE) on a geometry-optimized BeCdBr structure.

Unit cell a=7.955 b=7.502 c=3.531 alpha=84.08 beta=69.72 gamma=26.20
Fractional coordinates of all 3 atoms:
Be 0.000 0.000 0.000
Cd 0.638 0.638 0.362
Br 0.399 0.399 0.601

Computed properties:
The formation energy (no corrections) is 142 meV/atom. The size of the total moment comes out at 0.000 μB/atom. The calculation puts the volume at 75.5 Å³/f.u.



VASP calculation (PBE) on a geometry-optimized BeCdBr2 structure.

Unit cell a=3.956 b=3.969 c=7.107 alpha=90.00 beta=90.00 gamma=90.00
Fractional coordinates of all 4 atoms:
Be 0.000 0.000 0.000
Cd 0.000 0.500 0.500
Br 0.500 0.000 0.500
Br 0.500 0.500 0.000

Computed properties:
The formation energy (no corrections) is 271 meV/atom. The size of the total moment comes out at 0.000 μB/atom. The calculation puts the volume at 111.6 Å³/f.u.



VASP calculation (PBE) on a geometry-optimized BeCdBr2 structure.

Unit cell a=3.468 b=3.468 c=10.254 alpha=97.87 beta=97.87 gamma=59.98
Fractional coordinates of all 4 atoms:
Be 0.000 0.000 0.000
Cd 0.500 0.500 0.500
Br 0.297 0.297 0.864
Br 0.703 0.703 0.136

Computed properties:
The formation energy (no corrections) is -433 meV/atom. The size of the total moment comes out at 0.000 μB/atom. The calculation puts the volume at 105.5 Å³/f.u.



VASP calculation (PBE) on a geometry-optimized BeCdBr2 structure.

Unit cell a=5.048 b=5.048 c=3.604 alpha=90.00 beta=90.00 gamma=90.00
Fractional coordinates of all 4 atoms:
Be 0.000 0.000 0.000
Cd 0.500 0.500 0.000
Br 0.000 0.500 0.500
Br 0.500 0.000 0.500

Computed properties:
The formation energy (no corrections) is 386 meV/atom. The size of the total moment comes out at 0.033 μB/atom. The calculation puts the volume at 91.8 Å³/f.u.



VASP calculation (PBE) on a geometry-optimized BeCdBr2 structure.

Unit cell a=4.084 b=3.284 c=9.633 alpha=90.00 beta=96.95 gamma=90.00
Fractional coordinates of all 4 atoms:
Be 0.000 0.000 0.000
Cd 0.500 0.000 0.500
Br 0.102 0.500 0.847
Br 0.898 0.500 0.153

Computed properties:
The formation energy (no corrections) is -350 meV/atom. The size of the total moment comes out at 0.000 μB/atom. The calculation puts the volume at 128.2 Å³/f.u.



VASP calculation (PBE) on a geometry-optimized BeCdBr2 structure.

Unit cell a=3.252 b=3.252 c=9.627 alpha=90.00 beta=90.00 gamma=90.00
Fractional coordinates of all 4 atoms:
Be 0.000 0.000 0.000
Cd 0.000 0.000 0.500
Br 0.500 0.500 0.160
Br 0.500 0.500 0.840

Computed properties:
The formation energy (no corrections) is 128 meV/atom. The size of the total moment comes out at 0.000 μB/atom. The calculation puts the volume at 101.8 Å³/f.u.



VASP calculation (PBE) on a geometry-optimized BeCdBr3 structure.

Unit cell a=5.459 b=5.459 c=5.459 alpha=90.00 beta=90.00 gamma=90.00
Fractional coordinates of all 5 atoms:
Be 0.000 0.000 0.000
Cd 0.500 0.500 0.500
Br 0.000 0.500 0.500
Br 0.500 0.000 0.500
Br 0.500 0.500 0.000

Computed properties:
The formation energy (no corrections) is 193 meV/atom. The size of the total moment comes out at 0.204 μB/atom. The calculation puts the volume at 162.7 Å³/f.u.



VASP calculation (PBE) on a geometry-optimized BeCdBr2 structure.

Unit cell a=6.704 b=6.704 c=6.704 alpha=151.88 beta=121.77 gamma=65.89
Fractional coordinates of all 4 atoms:
Be 0.000 0.000 0.000
Cd 0.500 0.500 0.000
Br 0.142 0.642 0.500
Br 0.858 0.358 0.500

Computed properties:
The formation energy (no corrections) is -354 meV/atom. The size of the total moment comes out at 0.000 μB/atom. The calculation puts the volume at 119.6 Å³/f.u.



VASP calculation (PBE) on a geometry-optimized BeCdBr structure.

Unit cell a=4.679 b=4.679 c=4.679 alpha=60.00 beta=60.00 gamma=60.00
Fractional coordinates of all 3 atoms:
Be 0.000 0.000 0.000
Cd 0.750 0.750 0.750
Br 0.250 0.250 0.250

Computed properties:
The formation energy (no corrections) is 604 meV/atom. The size of the total moment comes out at 0.000 μB/atom. The calculation puts the volume at 72.4 Å³/f.u.



VASP calculation (PBE) on a geometry-optimized BeCdBr2 structure.

Unit cell a=3.348 b=3.348 c=8.420 alpha=90.00 beta=90.00 gamma=90.00
Fractional coordinates of all 4 atoms:
Be 0.000 0.000 0.000
Cd 0.500 0.500 0.732
Br 0.000 0.000 0.520
Br 0.500 0.500 0.133

Computed properties:
The formation energy (no corrections) is 116 meV/atom. The size of the total moment comes out at 0.000 μB/atom. The calculation puts the volume at 94.4 Å³/f.u.



VASP calculation (PBE) on a geometry-optimized BeCdBr3 structure.

Unit cell a=4.900 b=4.900 c=4.900 alpha=90.00 beta=90.00 gamma=90.00
Fractional coordinates of all 5 atoms:
Be 0.000 0.000 0.000
Cd 0.500 0.500 0.500
Br 0.000 0.000 0.500
Br 0.000 0.500 0.000
Br 0.500 0.000 0.000

Computed properties:
The formation energy (no corrections) is -329 meV/atom. The size of the total moment comes out at 0.000 μB/atom. The calculation puts the volume at 117.7 Å³/f.u.



Number 1: ΔE to the lowest computed polymorph 0 meV per atom. Number 2: ΔE to the lowest computed polymorph 824 meV per atom. Number 3: ΔE to the lowest computed polymorph 247 meV per atom. Number 4: ΔE to the lowest computed polymorph 65 meV per atom. Number 5: ΔE to the lowest computed polymorph 720 meV per atom. Number 6: ΔE to the lowest computed polymorph 17 meV per atom. Number 7: ΔE to the lowest computed polymorph 835 meV per atom. Number 8: ΔE to the lowest computed polymorph 100 meV per atom. Number 9: ΔE to the lowest computed polymorph 578 meV per atom. Number 10: ΔE to the lowest computed polymorph 522 meV per atom. Number 11: ΔE to the lowest computed polymorph 96 meV per atom. Number 12: ΔE to the lowest computed polymorph 528 meV per atom. Number 13: ΔE to the lowest computed polymorph 565 meV per atom. Number 14: ΔE to the lowest computed polymorph 0 meV per atom.